Computed, not measured: a relaxed Ho2MgZn2Ni5 crystal at the PBE level of DFT.

Properties
The density of states at the Fermi level comes out at 0.498 states/eV/atom. The total energy is -89.744 eV per cell. Its symmetry is P4/mbm, No. 127.

The structure in POSCAR format:
```
Ho2MgZn2Ni5
1.0
9.296 0.000 0.000
0.000 9.296 0.000
0.000 0.000 3.622
Ho Mg Zn Ni
4 2 4 10
Cartesian
1.666 2.982 0.000
2.982 7.630 0.000
6.314 1.666 0.000
7.630 6.314 0.000
0.000 0.000 0.000
4.648 4.648 0.000
1.085 5.733 0.000
3.563 1.085 0.000
5.733 8.211 0.000
8.211 3.563 0.000
0.000 4.648 1.811
0.594 7.320 1.811
1.976 0.594 1.811
2.672 5.242 1.811
4.054 2.672 1.811
4.648 0.000 1.811
5.242 6.624 1.811
6.624 4.054 1.811
7.320 8.702 1.811
8.702 1.976 1.811
```